Record 1
Here is a relaxed U2TlBr11 crystal from Alexandria. Energies are from PBE.

Energy in eV per atom: -4.25
Mass density in g cm⁻³: 4.17
Crystal system: orthorhombic
SG: Ibam, No. 72

Lattice parameters (Å, degrees): 13.0180 11.7643 11.7643 67.36 56.41 56.41
Last column: magnetic moment on the atom in μB.
Fractional coordinates of all 28 atoms:
U 0.6589 0.6554 0.3446  1.23
U 0.3411 0.3446 0.6554  1.23
U 0.8411 0.1554 0.8446  1.23
U 0.1589 0.8446 0.1554  1.23
Tl 0.7500 0.7500 0.7500  0.00
Tl 0.2500 0.2500 0.2500  0.00
Br 0.6318 0.6805 0.5785  -0.04
Br 0.3682 0.3195 0.4215  -0.04
Br 0.1092 0.5785 0.6805  -0.04
Br 0.8682 0.9215 0.8195  -0.04
Br 0.8908 0.4215 0.3195  -0.04
Br 0.1318 0.0785 0.1805  -0.04
Br 0.3908 0.8195 0.9215  -0.04
Br 0.6092 0.1805 0.0785  -0.04
Br 0.5000 0.5000 0.5000  -0.03
Br 0.0000 0.0000 0.0000  -0.03
Br 0.8015 0.7961 0.2039  -0.05
Br 0.1985 0.2039 0.7961  -0.05
Br 0.6985 0.2961 0.7039  -0.05
Br 0.3015 0.7039 0.2961  -0.05
Br 0.4261 0.8885 0.3719  -0.04
Br 0.5739 0.1115 0.6281  -0.04
Br 0.3135 0.3719 0.8885  -0.04
Br 0.0739 0.1281 0.6115  -0.04
Br 0.6865 0.6281 0.1115  -0.04
Br 0.9261 0.8719 0.3885  -0.04
Br 0.1865 0.6115 0.1281  -0.04
Br 0.8135 0.3885 0.8719  -0.04

***

Record 2
Here is a relaxed CrCo2Ru crystal from Alexandria. Energies are from PBE.

Energy in eV per atom: -8.13
ΔE to the lowest computed polymorph in meV per atom: 97
Mass density in g cm⁻³: 9.69
Crystal system: tetragonal
SG: P4/mmm, No. 123
Formation enthalpy at 0 K in eV/atom: 0.149

Lattice parameters (Å, degrees): 2.5418 2.5418 7.1891 90.00 90.00 90.00
Last column: magnetic moment on the atom in μB.
Fractional coordinates of all 4 atoms:
Co 0.0000 0.0000 0.0099  0.07
Co 0.0000 0.0000 0.4901  0.07
Cr 0.5000 0.5000 0.2500  0.20
Ru 0.5000 0.5000 0.7500  0.08

***

Record 3
Here is a relaxed PmCd2In crystal from Alexandria. Energies are from PBE.

Energy in eV per atom: -2.00
ΔE to the lowest computed polymorph in meV per atom: 676
Mass density in g cm⁻³: 6.20
Crystal system: hexagonal
SG: P-6m2, No. 187
Formation enthalpy at 0 K in eV/atom: 0.329

Lattice parameters (Å, degrees): 5.9100 5.0361 5.0361 60.00 90.00 90.00
Fractional coordinates of all 4 atoms:
Pm 0.0000 0.0000 0.0000
Cd 0.5000 0.0000 0.0000
Cd 0.5000 0.3333 0.3333
In 0.5000 0.6667 0.6667

***

Record 4
Here is a relaxed Hf5OsRu4 crystal from Alexandria. Energies are from PBE.

Energy in eV per atom: -10.60
Mass density in g cm⁻³: 14.46
Crystal system: tetragonal
SG: P4/mmm, No. 123
Formation enthalpy at 0 K in eV/atom: -0.791

Lattice parameters (Å, degrees): 3.2434 3.2434 16.2318 90.00 90.00 90.00
Fractional coordinates of all 10 atoms:
Hf 0.5000 0.5000 0.1006
Hf 0.5000 0.5000 0.3003
Hf 0.5000 0.5000 0.5000
Hf 0.5000 0.5000 0.6997
Hf 0.5000 0.5000 0.8994
Os 0.0000 0.0000 0.0000
Ru 0.0000 0.0000 0.2009
Ru 0.0000 0.0000 0.4003
Ru 0.0000 0.0000 0.5997
Ru 0.0000 0.0000 0.7991

***

Record 5
Here is a relaxed Co2GeMoN crystal from Alexandria. Energies are from PBE.

Energy in eV per atom: -7.69
Mass density in g cm⁻³: 8.51
Crystal system: tetragonal
SG: P4/mmm, No. 123

Lattice parameters (Å, degrees): 3.7741 3.7741 4.1158 90.00 90.00 90.00
Last column: magnetic moment on the atom in μB.
Fractional coordinates of all 5 atoms:
Mo 0.0000 0.0000 0.5000  -0.19
Co 0.0000 0.5000 0.0000  0.67
Co 0.5000 0.0000 0.0000  0.67
Ge 0.5000 0.5000 0.5000  0.00
N 0.0000 0.0000 0.0000  0.03

***

Record 6
Here is a relaxed BIrAu2 crystal from Alexandria. Energies are from PBE.

Energy in eV per atom: -4.36
Mass density in g cm⁻³: 16.36
Crystal system: cubic
SG: Fm-3m, No. 225
Formation enthalpy at 0 K in eV/atom: 1.164

Lattice parameters (Å, degrees): 4.4091 4.4091 4.4091 60.00 60.00 60.00
Fractional coordinates of all 4 atoms:
B 0.0000 0.0000 0.0000
Ir 0.5000 0.5000 0.5000
Au 0.2500 0.2500 0.2500
Au 0.7500 0.7500 0.7500

***

Record 7
Here is a relaxed Pr2Nd8Cd crystal from Alexandria. Energies are from PBE.

Energy in eV per atom: -4.44
ΔE to the lowest computed polymorph in meV per atom: 4
Mass density in g cm⁻³: 6.86
Crystal system: monoclinic
SG: C2/m, No. 12
Formation enthalpy at 0 K in eV/atom: -0.018

Lattice parameters (Å, degrees): 5.1559 8.1328 9.6147 104.81 105.55 90.00
Fractional coordinates of all 11 atoms:
Pr 0.7753 0.3639 0.5506
Pr 0.2247 0.6361 0.4494
Nd 0.4113 0.5565 0.8227
Nd 0.6790 0.9090 0.3580
Nd 0.8650 0.8230 0.7301
Nd 0.9553 0.2757 0.9105
Nd 0.1350 0.1770 0.2699
Nd 0.3210 0.0910 0.6420
Nd 0.5887 0.4435 0.1773
Nd 0.0447 0.7243 0.0895
Cd 0.5000 0.0000 0.0000

***

Record 8
Here is a relaxed SnB3H12 crystal from Alexandria. Energies are from PBE.

Energy in eV per atom: -3.95
Mass density in g cm⁻³: 1.70
Crystal system: trigonal
SG: R3c, No. 161

Lattice parameters (Å, degrees): 7.2347 7.2347 8.1899 63.79 63.79 60.00
Fractional coordinates of all 32 atoms:
Sn 0.0577 0.0577 0.8269
Sn 0.5577 0.5577 0.3269
B 0.7114 0.3337 0.9944
B 0.2114 0.4604 0.4944
B 0.8337 0.2114 0.4944
B 0.3337 0.9604 0.9944
B 0.9604 0.7114 0.9944
B 0.4604 0.8337 0.4944
H 0.1307 0.0625 0.0566
H 0.2339 0.2821 0.6244
H 0.9284 0.0344 0.4618
H 0.8502 0.4034 0.8580
H 0.3502 0.3883 0.3580
H 0.4284 0.0755 0.9618
H 0.7339 0.3595 0.1244
H 0.0344 0.5755 0.4618
H 0.6307 0.2502 0.5566
H 0.8595 0.2339 0.6244
H 0.9034 0.3502 0.3580
H 0.2502 0.5625 0.5566
H 0.0755 0.5344 0.9618
H 0.7502 0.1307 0.0566
H 0.4034 0.8884 0.8580
H 0.3595 0.7821 0.1244
H 0.7821 0.7339 0.1244
H 0.5344 0.4284 0.9618
H 0.5625 0.6307 0.5566
H 0.8884 0.8502 0.8580
H 0.3883 0.9034 0.3580
H 0.0625 0.7502 0.0566
H 0.2821 0.8595 0.6244
H 0.5755 0.9284 0.4618

***

> The lowest energy belongs to which entry?

Hf5OsRu4